Entry 1:
This record from Alexandria via LeMat-Bulk describes a geometry-optimized Na5VO5 structure. The functional is GGA-PBEsol.

a b c (Å): 5.7624 16.0083 6.5753
angles (deg): 90.00 90.00 90.00
Space group Pbcm (No. 57)
Asymmetric unit:
Na1 0.0044 0.2311 0.2500 (multiplicity 4)
Na2 0.2175 0.0815 0.0142 (multiplicity 8)
Na3 0.3266 0.5839 0.2500 (multiplicity 4)
Na4 0.4818 0.7500 0.0000 (multiplicity 4)
V1 0.2143 0.5931 0.7500 (multiplicity 4)
O1 0.0204 0.5116 0.7500 (multiplicity 4)
O2 0.1575 0.6533 0.5388 (multiplicity 8)
O3 0.3573 0.1727 0.2500 (multiplicity 4)
O4 0.4927 0.5542 0.7500 (multiplicity 4)

Summary:
As for the raw formation energy: -2011 kJ/mol of formula units. Its total DFT energy (no corrections) is -0.426 Ry per atom. The polymorph energy (0 for the lowest one) comes out at 0 kJ/mol of formula units.

---

Entry 2:
This record from Alexandria via LeMat-Bulk describes a geometry-optimized NaV2O5 structure. The functional is GGA-PBEsol.

a b c (Å): 3.5804 11.2684 4.8346
angles (deg): 90.00 90.00 90.00
Space group Pmmn (No. 59, origin choice 2)
Asymmetric unit:
Na1 0.2500 0.2500 0.1321 (multiplicity 2)
V1 0.2500 0.5992 0.3946 (multiplicity 4)
O1 0.2500 0.0715 0.4876 (multiplicity 4)
O2 0.2500 0.6163 0.0620 (multiplicity 4)
O3 0.2500 0.7500 0.5209 (multiplicity 2)

Summary:
As for the raw formation energy: -1804 kJ/mol of formula units. Its total DFT energy (no corrections) is -0.603 Ry per atom. The polymorph energy (0 for the lowest one) comes out at 4 kJ/mol of formula units.

---

Entry 3:
This record from Alexandria via LeMat-Bulk describes a geometry-optimized NaV3O8 structure. The functional is GGA-PBEsol.

a b c (Å): 7.3026 3.5677 12.0693
angles (deg): 90.00 107.60 90.00
Space group P2_1/m (No. 11)
Asymmetric unit:
Na1 0.0033 0.2500 0.1749 (multiplicity 2)
V1 0.3122 0.7500 0.4187 (multiplicity 2)
V2 0.3627 0.2500 0.0442 (multiplicity 2)
V3 0.4190 0.7500 0.6884 (multiplicity 2)
O1 0.1159 0.7500 0.3117 (multiplicity 2)
O2 0.1459 0.2500 0.9551 (multiplicity 2)
O3 0.2394 0.7500 0.5444 (multiplicity 2)
O4 0.2843 0.7500 0.7718 (multiplicity 2)
O5 0.3359 0.2500 0.1805 (multiplicity 2)
O6 0.3900 0.2500 0.4291 (multiplicity 2)
O7 0.4431 0.7500 0.0423 (multiplicity 2)
O8 0.4842 0.2500 0.6717 (multiplicity 2)

Summary:
As for the raw formation energy: -2669 kJ/mol of formula units. Its total DFT energy (no corrections) is -0.612 Ry per atom.

---

Entry 4:
This record from Alexandria via LeMat-Bulk describes a geometry-optimized NaVO2 structure. The functional is GGA-PBEsol.

a b c (Å): 2.9538 2.9538 16.1800
angles (deg): 90.00 90.00 120.00
Space group R-3m (No. 166, hexagonal axes)
Asymmetric unit:
Na1 0.0000 0.0000 0.0000 (multiplicity 3)
V1 0.0000 0.0000 0.5000 (multiplicity 3)
O1 0.0000 0.0000 0.2346 (multiplicity 6)

Summary:
As for the raw formation energy: -799 kJ/mol of formula units. Its total DFT energy (no corrections) is -0.548 Ry per atom.

---

Entry 5:
This record from Alexandria via LeMat-Bulk describes a geometry-optimized NaVO3 structure. The functional is GGA-PBEsol.

a b c (Å): 10.6483 9.4992 5.8961
angles (deg): 90.00 109.84 90.00
Space group C2/c (No. 15)
Asymmetric unit:
Na1 0.0000 0.0885 0.2500 (multiplicity 4)
Na2 0.0000 0.2821 0.7500 (multiplicity 4)
V1 0.2070 0.4113 0.2299 (multiplicity 8)
O1 0.1279 0.0997 0.6678 (multiplicity 8)
O2 0.1419 0.2530 0.1750 (multiplicity 8)
O3 0.1481 0.4994 0.4450 (multiplicity 8)

Summary:
As for the raw formation energy: -1104 kJ/mol of formula units. Its total DFT energy (no corrections) is -0.562 Ry per atom.

---

Entry 6:
This record from Alexandria via LeMat-Bulk describes a geometry-optimized Na3VO3 structure. The functional is GGA-PBEsol.

a b c (Å): 6.0295 10.5641 6.0365
angles (deg): 90.00 92.78 90.00
Space group P2_1/c (No. 14)
Asymmetric unit:
Na1 0.0194 0.2113 0.0143 (multiplicity 4)
Na2 0.1553 0.5054 0.8503 (multiplicity 4)
Na3 0.4738 0.2205 0.4167 (multiplicity 4)
V1 0.3290 0.5030 0.3350 (multiplicity 4)
O1 0.1833 0.6297 0.1926 (multiplicity 4)
O2 0.2297 0.1312 0.6823 (multiplicity 4)
O3 0.3939 0.0836 0.1125 (multiplicity 4)

Summary:
As for the raw formation energy: -1164 kJ/mol of formula units. Its total DFT energy (no corrections) is -0.437 Ry per atom. The polymorph energy (0 for the lowest one) comes out at 0 kJ/mol of formula units.

---

Entry 7:
This record from Alexandria via LeMat-Bulk describes a geometry-optimized Na2VO3 structure. The functional is GGA-PBEsol.

a b c (Å): 5.2292 9.1566 6.0920
angles (deg): 90.00 90.00 90.00
Space group Pnma (No. 62)
Asymmetric unit:
Na1 0.2378 0.0817 0.1101 (multiplicity 8)
V1 0.2231 0.7500 0.1482 (multiplicity 4)
O1 0.0028 0.1156 0.7089 (multiplicity 8)
O2 0.1324 0.7500 0.8793 (multiplicity 4)

Summary:
As for the raw formation energy: -1210 kJ/mol of formula units. Its total DFT energy (no corrections) is -0.499 Ry per atom.

---

Entry 8:
This record from Alexandria via LeMat-Bulk describes a geometry-optimized NaV2O5 structure. The functional is GGA-PBEsol.

a b c (Å): 9.7234 3.6089 11.9740
angles (deg): 90.00 90.00 90.00
Space group Pnma (No. 62)
Asymmetric unit:
Na1 0.1555 0.2500 0.2305 (multiplicity 4)
V1 0.0657 0.2500 0.5870 (multiplicity 4)
V2 0.1255 0.7500 0.0013 (multiplicity 4)
O1 0.0149 0.7500 0.2938 (multiplicity 4)
O2 0.0635 0.7500 0.5378 (multiplicity 4)
O3 0.0708 0.2500 0.0350 (multiplicity 4)
O4 0.2133 0.7500 0.8875 (multiplicity 4)
O5 0.2482 0.2500 0.6143 (multiplicity 4)

Summary:
As for the raw formation energy: -1807 kJ/mol of formula units. Its total DFT energy (no corrections) is -0.603 Ry per atom. The polymorph energy (0 for the lowest one) comes out at 0 kJ/mol of formula units.

---

Entry 9:
This record from Alexandria via LeMat-Bulk describes a geometry-optimized Na2VO3 structure. The functional is GGA-PBEsol.

a b c (Å): 10.8891 6.2934 4.8829
angles (deg): 90.00 90.00 90.00
Space group Cmc2_1 (No. 36)
Asymmetric unit:
Na1 0.1651 0.1651 0.0000 (multiplicity 8)
V1 0.0000 0.3307 0.4630 (multiplicity 4)
O1 0.0000 0.3891 0.0894 (multiplicity 4)
O2 0.1380 0.2004 0.5197 (multiplicity 8)

Summary:
As for the raw formation energy: -1197 kJ/mol of formula units. Its total DFT energy (no corrections) is -0.497 Ry per atom.

---

Entry 10:
This record from Alexandria via LeMat-Bulk describes a geometry-optimized Na4V3O8 structure. The functional is GGA-PBEsol.

a b c (Å): 6.8138 4.1643 11.9971
angles (deg): 90.00 104.42 90.00
Space group P2_1/m (No. 11)
Asymmetric unit:
Na1 0.0287 0.2500 0.2870 (multiplicity 2)
Na2 0.0936 0.7500 0.9581 (multiplicity 2)
Na3 0.3084 0.7500 0.3965 (multiplicity 2)
Na4 0.4676 0.7500 0.6613 (multiplicity 2)
V1 0.1519 0.2500 0.5563 (multiplicity 2)
V2 0.3011 0.2500 0.8099 (multiplicity 2)
V3 0.3973 0.2500 0.0747 (multiplicity 2)
O1 0.0534 0.2500 0.6954 (multiplicity 2)
O2 0.1148 0.7500 0.5436 (multiplicity 2)
O3 0.1819 0.2500 0.9380 (multiplicity 2)
O4 0.2529 0.2500 0.1691 (multiplicity 2)
O5 0.3056 0.2500 0.4587 (multiplicity 2)
O6 0.3316 0.7500 0.8276 (multiplicity 2)
O7 0.4084 0.2500 0.6860 (multiplicity 2)
O8 0.4439 0.7500 0.0660 (multiplicity 2)

Summary:
As for the raw formation energy: -3005 kJ/mol of formula units. Its total DFT energy (no corrections) is -0.527 Ry per atom.

---

Entry 11:
This record from Alexandria via LeMat-Bulk describes a geometry-optimized Na2VO3 structure. The functional is GGA-PBEsol.

a b c (Å): 5.2643 9.1229 5.6221
angles (deg): 90.00 108.89 90.00
Space group C2/m (No. 12)
Asymmetric unit:
Na1 0.0000 0.0000 0.0000 (multiplicity 2)
Na2 0.0000 0.1581 0.5000 (multiplicity 4)
Na3 0.0000 0.5000 0.5000 (multiplicity 2)
V1 0.0000 0.3326 0.0000 (multiplicity 4)
O1 0.1890 0.5000 0.2011 (multiplicity 4)
O2 0.2410 0.3098 0.8020 (multiplicity 8)

Summary:
As for the raw formation energy: -1185 kJ/mol of formula units. Its total DFT energy (no corrections) is -0.496 Ry per atom.

---

Entry 12:
This record from Alexandria via LeMat-Bulk describes a geometry-optimized NaW2O6 structure. The functional is GGA-PBEsol.

a b c (Å): 7.6841 7.6841 7.6841
angles (deg): 90.00 90.00 90.00
Space group Fm-3m (No. 225)
Asymmetric unit:
Na1 0.0000 0.0000 0.0000 (multiplicity 4)
W1 0.2500 0.2500 0.2500 (multiplicity 8)
O1 0.0000 0.2500 0.2500 (multiplicity 24)

Summary:
As for the raw formation energy: -1890 kJ/mol of formula units. Its total DFT energy (no corrections) is -0.654 Ry per atom. The polymorph energy (0 for the lowest one) comes out at 2 kJ/mol of formula units.